[1]
PrPaNiRu, relaxed, DFT PBE; DOS(E_F) = 6.58 states/eV per cell; symmetry = No. 216; electronic total energy = -29.9 eV for the cell shown
1.0
4.888 0.000 0.000
2.444 4.233 0.000
2.444 1.411 3.991
Pr Ru Pa Ni
1 1 1 1
direct
0.250 0.250 0.250
0.500 0.500 0.500
0.750 0.750 0.750
0.000 0.000 0.000

***

[2]
VRu2W, relaxed, DFT PBE; DOS(E_F) = 8.83 states/eV per cell; symmetry = No. 122; energy above the most stable polymorph in this dataset = 754.9 meV/atom; electronic total energy = -76.0 eV for the cell shown
1.0
3.883 0.000 0.000
0.000 3.883 0.000
1.942 1.942 8.468
Ru W V
4 2 2
direct
0.601 0.125 0.250
0.149 0.625 0.250
0.375 0.399 0.750
0.875 0.851 0.750
0.000 0.000 0.000
0.750 0.250 0.500
0.500 0.500 0.000
0.250 0.750 0.500

***

[3]
InSnF, relaxed, DFT PBE; DOS(E_F) = 1.68 states/eV per cell; symmetry = No. 107; energy above the most stable polymorph in this dataset = 0.0 meV/atom; electronic total energy = -11.4 eV for the cell shown; raw formation energy = -0.919 eV per atom
1.0
4.370 0.000 0.000
0.000 4.370 0.000
-2.185 -2.185 4.553
In Sn F
1 1 1
direct
0.862 0.862 0.725
0.377 0.377 0.753
0.611 0.611 0.222

***

[4]
CaFe3W, relaxed, DFT PBE; DOS(E_F) = 5.77 states/eV per cell; symmetry = No. 221; energy above the most stable polymorph in this dataset = 0.0 meV/atom; electronic total energy = -35.2 eV for the cell shown
1.0
-0.950 1.761 4.143
3.308 -2.600 1.863
3.054 3.363 -0.729
Ca Fe W
1 3 1
direct
0.500 0.500 0.500
0.000 0.500 0.000
0.000 0.000 0.500
0.500 0.000 0.000
0.000 0.000 0.000

***

[5]
TaAlAu2, relaxed, DFT PBE; DOS(E_F) = 1.52 states/eV per cell; symmetry = No. 123; electronic total energy = -22.9 eV for the cell shown
1.0
-1.785 0.733 2.328
-2.360 0.217 -1.878
-1.530 -7.197 1.092
Au Al Ta
2 1 1
direct
0.000 0.000 0.983
0.000 0.000 0.517
0.500 0.500 0.750
0.500 0.500 0.250